Crystalline ZrBeCo2 at its relaxed geometry, computed with GGA-PBEsol.

Summary:
Its symmetry is Pm. For the formation energy, the calculation gives -0.030 eV per atom. The crystal system is monoclinic. For the total magnetization, the calculation gives 0.96 μB/cell. For the electronic total energy, the calculation gives -7.171 eV/atom.

```
4
Lattice="2.760 0.000 0.048 0.000 3.904 0.000 -1.147 0.000 4.549" Properties=species:S:1:pos:R:3 pbc="T T T"
Co 0.274 0.000 0.012
Co 1.877 1.952 0.898
Zr 0.834 0.000 2.359
Be -0.565 1.952 3.627
```